## Y3Cl (PBE)

Data for an optimized crystal structure of Y3Cl.

Cell and atoms, written as CIF:
```
data_Y3Cl
_chemical_formula_sum 'Y12 Cl4'
_symmetry_space_group_name_H-M 'F m -3 m'
_symmetry_Int_Tables_number 225
_symmetry_space_group_name_Hall '-F 4 2 3'
_cell_length_a 7.8467
_cell_length_b 7.8467
_cell_length_c 7.8467
_cell_angle_alpha 90.00
_cell_angle_beta 90.00
_cell_angle_gamma 90.00
loop_
_atom_site_label
_atom_site_fract_x
_atom_site_fract_y
_atom_site_fract_z
_atom_site_occupancy
Y1 0.0000 0.0000 0.0000 1
Y2 0.2500 0.2500 0.2500 1
Cl1 0.0000 0.0000 0.5000 1
```

## Properties
Volume (Å³ per cell): 483.1
Magnetization (μB per formula unit): 0.001
Offset from the most stable computed form (meV per atom): 797
Energy relative to the elements, uncorrected (eV per atom): 0.138